1.
DFT (PBE-GGA) results for crystalline HoHgPd3 at its relaxed geometry.

Calculated values
Calculated volume (Å³ per atom): 20.494
Size of the total moment (Bohr magnetons per cell): 0.00
ΔE_f (meV/atom): -562
N(E_F) (states/eV per atom): 0.337

```
data_HoHgPd3
_chemical_formula_sum 'Ho2 Hg2 Pd6'
_cell_length_a 4.180
_cell_length_b 8.557
_cell_length_c 5.730
_cell_angle_alpha 90.00
_cell_angle_beta 90.00
_cell_angle_gamma 90.00
_symmetry_space_group_name_H-M 'P m c 21'
_symmetry_Int_Tables_number 26
loop_
_symmetry_equiv_pos_as_xyz
'x,y,z'
'-x,-y,z+1/2'
'-x,y,z'
'x,-y,z+1/2'
loop_
_atom_site_label
_atom_site_type_symbol
_atom_site_fract_x
_atom_site_fract_y
_atom_site_fract_z
Ho1 Ho 0.000 0.165 0.000
Hg1 Hg 0.500 0.360 0.288
Pd1 Pd 0.000 0.167 0.507
Pd2 Pd 0.500 0.006 0.255
Pd3 Pd 0.500 0.326 0.773
```


2.
DFT (PBE-GGA) results for crystalline Ho7HgPd4 at its relaxed geometry.

Calculated values
Calculated volume (Å³ per atom): 24.979
Size of the total moment (Bohr magnetons per cell): 0.00
ΔE_f (meV/atom): -477
N(E_F) (states/eV per atom): 0.892

```
data_Ho7HgPd4
_chemical_formula_sum 'Ho14 Hg2 Pd8'
_cell_length_a 13.876
_cell_length_b 5.511
_cell_length_c 9.604
_cell_angle_alpha 90.00
_cell_angle_beta 125.29
_cell_angle_gamma 90.00
_symmetry_space_group_name_H-M 'C 1 2/m 1'
_symmetry_Int_Tables_number 12
loop_
_symmetry_equiv_pos_as_xyz
'x,y,z'
'-x,-y,-z'
'-x,y,-z'
'x,-y,z'
'x+1/2,y+1/2,z'
'-x+1/2,-y+1/2,-z'
'-x+1/2,y+1/2,-z'
'x+1/2,-y+1/2,z'
loop_
_atom_site_label
_atom_site_type_symbol
_atom_site_fract_x
_atom_site_fract_y
_atom_site_fract_z
Ho1 Ho 0.000 0.000 0.000
Ho2 Ho 0.068 0.500 0.374
Ho3 Ho 0.197 0.000 0.644
Ho4 Ho 0.213 0.500 0.882
Hg1 Hg 0.000 0.500 0.000
Pd1 Pd 0.064 0.000 0.770
Pd2 Pd 0.201 0.000 0.344
```


3.
DFT (PBE-GGA) results for crystalline HoHg3Pd7 at its relaxed geometry.

Calculated values
Calculated volume (Å³ per atom): 19.524
Size of the total moment (Bohr magnetons per cell): 0.00
ΔE_f (meV/atom): -179
N(E_F) (states/eV per atom): 0.465

```
data_HoHg3Pd7
_chemical_formula_sum 'Ho2 Hg6 Pd14'
_cell_length_a 9.159
_cell_length_b 9.543
_cell_length_c 5.372
_cell_angle_alpha 90.00
_cell_angle_beta 113.83
_cell_angle_gamma 90.00
_symmetry_space_group_name_H-M 'C 1 2/m 1'
_symmetry_Int_Tables_number 12
loop_
_symmetry_equiv_pos_as_xyz
'x,y,z'
'-x,-y,-z'
'-x,y,-z'
'x,-y,z'
'x+1/2,y+1/2,z'
'-x+1/2,-y+1/2,-z'
'-x+1/2,y+1/2,-z'
'x+1/2,-y+1/2,z'
loop_
_atom_site_label
_atom_site_type_symbol
_atom_site_fract_x
_atom_site_fract_y
_atom_site_fract_z
Ho1 Ho 0.000 0.000 0.000
Hg1 Hg 0.000 0.283 0.500
Hg2 Hg 0.000 0.500 0.000
Pd1 Pd 0.000 0.000 0.500
Pd2 Pd 0.176 0.257 0.179
Pd3 Pd 0.213 0.500 0.542
```


4.
DFT (PBE-GGA) results for crystalline Ho2HgPd4 at its relaxed geometry.

Calculated values
Calculated volume (Å³ per atom): 24.985
Size of the total moment (Bohr magnetons per cell): 0.00
ΔE_f (meV/atom): -40
N(E_F) (states/eV per atom): 0.568

```
data_Ho2HgPd4
_chemical_formula_sum 'Ho4 Hg2 Pd8'
_cell_length_a 4.994
_cell_length_b 4.994
_cell_length_c 14.026
_cell_angle_alpha 90.00
_cell_angle_beta 90.00
_cell_angle_gamma 90.00
_symmetry_space_group_name_H-M 'I 4/m m m'
_symmetry_Int_Tables_number 139
_symmetry_space_group_name_Hall '-I 4 2'
loop_
_atom_site_label
_atom_site_type_symbol
_atom_site_fract_x
_atom_site_fract_y
_atom_site_fract_z
Ho1 Ho 0.000 0.000 0.125
Hg1 Hg 0.000 0.000 0.500
Pd1 Pd 0.000 0.000 0.307
Pd2 Pd 0.000 0.500 0.000
```


5.
DFT (PBE-GGA) results for crystalline Ho3Hg2Pd4 at its relaxed geometry.

Calculated values
Calculated volume (Å³ per atom): 21.576
Size of the total moment (Bohr magnetons per cell): 0.00
ΔE_f (meV/atom): -686
N(E_F) (states/eV per atom): 0.390

```
data_Ho3Hg2Pd4
_chemical_formula_sum 'Ho6 Hg4 Pd8'
_cell_length_a 9.627
_cell_length_b 4.339
_cell_length_c 9.300
_cell_angle_alpha 90.00
_cell_angle_beta 91.57
_cell_angle_gamma 90.00
_symmetry_space_group_name_H-M 'C 1 2/m 1'
_symmetry_Int_Tables_number 12
loop_
_symmetry_equiv_pos_as_xyz
'x,y,z'
'-x,-y,-z'
'-x,y,-z'
'x,-y,z'
'x+1/2,y+1/2,z'
'-x+1/2,-y+1/2,-z'
'-x+1/2,y+1/2,-z'
'x+1/2,-y+1/2,z'
loop_
_atom_site_label
_atom_site_type_symbol
_atom_site_fract_x
_atom_site_fract_y
_atom_site_fract_z
Ho1 Ho 0.000 0.000 0.000
Ho2 Ho 0.134 0.500 0.616
Hg1 Hg 0.160 0.500 0.217
Pd1 Pd 0.073 0.000 0.380
Pd2 Pd 0.197 0.500 0.914
```


6.
DFT (PBE-GGA) results for crystalline Ho3HgPd5 at its relaxed geometry.

Calculated values
Calculated volume (Å³ per atom): 19.850
Size of the total moment (Bohr magnetons per cell): 0.00
ΔE_f (meV/atom): -804
N(E_F) (states/eV per atom): 0.508

```
data_Ho3HgPd5
_chemical_formula_sum 'Ho6 Hg2 Pd10'
_cell_length_a 8.4313
_cell_length_b 8.4313
_cell_length_c 5.8037
_cell_angle_alpha 90.00
_cell_angle_beta 90.00
_cell_angle_gamma 120.00
_symmetry_space_group_name_H-M 'P 63/m c m'
_symmetry_Int_Tables_number 193
_symmetry_space_group_name_Hall '-P 6c 2'
loop_
_atom_site_label
_atom_site_type_symbol
_atom_site_fract_x
_atom_site_fract_y
_atom_site_fract_z
Ho1 Ho 0.0000 0.3569 0.2500
Hg1 Hg 0.0000 0.0000 0.0000
Pd1 Pd 0.0000 0.3175 0.7500
Pd2 Pd 0.3333 0.6667 0.0000
```


7.
DFT (PBE-GGA) results for crystalline Ho2HgPd9 at its relaxed geometry.

Calculated values
Calculated volume (Å³ per atom): 17.186
Size of the total moment (Bohr magnetons per cell): 0.00
ΔE_f (meV/atom): -629
N(E_F) (states/eV per atom): 0.922

```
data_Ho2HgPd9
_chemical_formula_sum 'Ho2 Hg1 Pd9'
_cell_length_a 4.080
_cell_length_b 4.080
_cell_length_c 12.387
_cell_angle_alpha 90.00
_cell_angle_beta 90.00
_cell_angle_gamma 90.00
_symmetry_space_group_name_H-M 'P 4/m m m'
_symmetry_Int_Tables_number 123
_symmetry_space_group_name_Hall '-P 4 2'
loop_
_atom_site_label
_atom_site_type_symbol
_atom_site_fract_x
_atom_site_fract_y
_atom_site_fract_z
Ho1 Ho 0.000 0.000 0.169
Hg1 Hg 0.000 0.000 0.500
Pd1 Pd 0.000 0.500 0.000
Pd2 Pd 0.000 0.500 0.334
Pd3 Pd 0.500 0.500 0.166
Pd4 Pd 0.500 0.500 0.500
```


8.
DFT (PBE-GGA) results for crystalline HoHgPd2 at its relaxed geometry.

Calculated values
Calculated volume (Å³ per atom): 19.585
Size of the total moment (Bohr magnetons per cell): 0.00
ΔE_f (meV/atom): -651
N(E_F) (states/eV per atom): 0.350

```
data_HoHgPd2
_chemical_formula_sum 'Ho1 Hg1 Pd2'
_cell_length_a 3.594
_cell_length_b 3.594
_cell_length_c 6.063
_cell_angle_alpha 90.00
_cell_angle_beta 90.00
_cell_angle_gamma 90.00
_symmetry_space_group_name_H-M 'P 4/m m m'
_symmetry_Int_Tables_number 123
_symmetry_space_group_name_Hall '-P 4 2'
loop_
_atom_site_label
_atom_site_type_symbol
_atom_site_fract_x
_atom_site_fract_y
_atom_site_fract_z
Ho1 Ho 0.000 0.000 0.000
Hg1 Hg 0.000 0.000 0.500
Pd1 Pd 0.500 0.500 0.253
```


9.
DFT (PBE-GGA) results for crystalline HoHg2Pd2 at its relaxed geometry.

Calculated values
Calculated volume (Å³ per atom): 21.753
Size of the total moment (Bohr magnetons per cell): 0.00
ΔE_f (meV/atom): -377
N(E_F) (states/eV per atom): 0.596

```
data_HoHg2Pd2
_chemical_formula_sum 'Ho2 Hg4 Pd4'
_cell_length_a 5.698
_cell_length_b 5.696
_cell_length_c 7.225
_cell_angle_alpha 90.00
_cell_angle_beta 111.91
_cell_angle_gamma 90.00
_symmetry_space_group_name_H-M 'C 1 2/m 1'
_symmetry_Int_Tables_number 12
loop_
_symmetry_equiv_pos_as_xyz
'x,y,z'
'-x,-y,-z'
'-x,y,-z'
'x,-y,z'
'x+1/2,y+1/2,z'
'-x+1/2,-y+1/2,-z'
'-x+1/2,y+1/2,-z'
'x+1/2,-y+1/2,z'
loop_
_atom_site_label
_atom_site_type_symbol
_atom_site_fract_x
_atom_site_fract_y
_atom_site_fract_z
Ho1 Ho 0.000 0.000 0.000
Hg1 Hg 0.000 0.250 0.500
Pd1 Pd 0.103 0.500 0.194
```


10.
DFT (PBE-GGA) results for crystalline Ho2HgPd at its relaxed geometry.

Calculated values
Calculated volume (Å³ per atom): 26.398
Size of the total moment (Bohr magnetons per cell): 0.00
ΔE_f (meV/atom): -549
N(E_F) (states/eV per atom): 0.950

```
data_Ho2HgPd
_chemical_formula_sum 'Ho6 Hg3 Pd3'
_cell_length_a 4.0218
_cell_length_b 4.0218
_cell_length_c 22.6139
_cell_angle_alpha 90.00
_cell_angle_beta 90.00
_cell_angle_gamma 120.00
_symmetry_space_group_name_H-M 'R 3 m'
_symmetry_Int_Tables_number 160
_symmetry_space_group_name_Hall 'R 3 -2"'
loop_
_atom_site_label
_atom_site_type_symbol
_atom_site_fract_x
_atom_site_fract_y
_atom_site_fract_z
Ho1 Ho 0.0000 0.0000 0.0000
Ho2 Ho 0.0000 0.0000 0.1908
Hg1 Hg 0.0000 0.0000 0.4292
Pd1 Pd 0.0000 0.0000 0.5940
```